No. 1
Compound: TaVTcMo
Source: Alexandria via LeMat-Bulk
Functional: PBE
Structure: relaxed

Summary:
ΔH_f (0 K): -0.2742 eV per atom
Mass density: 11.47 g/cm3
Final energy: -10.816 eV per atom
Excess energy over the best structure of this formula in the dataset: 0.000 eV per atom
D(E_F): 2.84 states/eV/cell

a = 3.134 Å, b = 3.134 Å, c = 6.281 Å
α = 90.00°, β = 90.00°, γ = 90.00°
Space group P4mm (No. 99)
Asymmetric unit:
Ta (0.000, 0.000, 0.000) x1
V (0.000, 0.000, 0.496) x1
Tc (0.500, 0.500, 0.256) x1
Mo (0.500, 0.500, 0.735) x1

=====

No. 2
Compound: PrGd3C
Source: Alexandria via LeMat-Bulk
Functional: PBE
Structure: relaxed

Summary:
ΔH_f (0 K): 0.0135 eV per atom
Mass density: 7.74 g/cm3
Final energy: -11.236 eV per atom
D(E_F): 7.30 states/eV/cell

a = 5.118 Å, b = 5.118 Å, c = 5.118 Å
α = 90.00°, β = 90.00°, γ = 90.00°
Space group Pm-3m (No. 221)
Asymmetric unit:
Pr (0.000, 0.000, 0.000) x1
Gd (0.000, 0.500, 0.500) x3
C (0.500, 0.500, 0.500) x1

=====

No. 3
Compound: SrNiHg
Source: Alexandria via LeMat-Bulk
Functional: PBE
Structure: relaxed

Summary:
ΔH_f (0 K): -0.2341 eV per atom
Mass density: 7.97 g/cm3
Final energy: -2.822 eV per atom
D(E_F): 6.43 states/eV/cell

a = 11.295 Å, b = 4.364 Å, c = 7.535 Å
α = 90.00°, β = 128.86°, γ = 90.00°
Space group C2/m (No. 12)
Asymmetric unit:
Sr (0.064, 0.000, 0.311) x4
Ni (0.126, 0.500, 0.670) x4
Hg (0.195, 0.500, 0.107) x4

=====

No. 4
Compound: Zr5Zn4Re
Source: Alexandria via LeMat-Bulk
Functional: PBE
Structure: relaxed

Summary:
ΔH_f (0 K): -0.2951 eV per atom
Mass density: 8.07 g/cm3
Final energy: -6.324 eV per atom
D(E_F): 3.74 states/eV/cell

a = 3.361 Å, b = 3.361 Å, c = 16.473 Å
α = 90.00°, β = 90.00°, γ = 90.00°
Space group P4/mmm (No. 123)
Asymmetric unit:
Zr (0.000, 0.000, 0.000) x1
Zr (0.000, 0.000, 0.201) x2
Zr (0.000, 0.000, 0.404) x2
Zn (0.500, 0.500, 0.100) x2
Zn (0.500, 0.500, 0.301) x2
Re (0.500, 0.500, 0.500) x1

=====

No. 5
Compound: Na3Cd9Cu2
Source: Alexandria via LeMat-Bulk
Functional: PBE
Structure: relaxed

Summary:
ΔH_f (0 K): -0.0078 eV per atom
Mass density: 6.29 g/cm3
Final energy: -1.464 eV per atom
D(E_F): 7.53 states/eV/cell

a = 4.570 Å, b = 11.659 Å, c = 11.973 Å
α = 90.00°, β = 90.00°, γ = 90.00°
Space group Immm (No. 71)
Asymmetric unit:
Na (0.000, 0.000, 0.000) x2
Na (0.000, 0.000, 0.296) x4
Cd (0.000, 0.285, 0.133) x8
Cd (0.000, 0.372, 0.369) x8
Cd (0.000, 0.500, 0.000) x2
Cu (0.000, 0.163, 0.500) x4

=====

No. 6
Compound: BaGaAg2
Source: Alexandria via LeMat-Bulk
Functional: PBE
Structure: relaxed

Summary:
ΔH_f (0 K): -0.2022 eV per atom
Mass density: 6.73 g/cm3
Final energy: -2.865 eV per atom
D(E_F): 8.51 states/eV/cell

a = 6.163 Å, b = 12.784 Å, c = 6.001 Å
α = 90.00°, β = 118.13°, γ = 90.00°
Space group C2/c (No. 15)
Asymmetric unit:
Ba (0.000, 0.120, 0.250) x4
Ga (0.000, 0.239, 0.750) x4
Ag (0.118, 0.400, 0.085) x8

=====

No. 7
Compound: KTlInSn2
Source: Alexandria via LeMat-Bulk
Functional: PBE
Structure: relaxed

Summary:
ΔH_f (0 K): -0.1013 eV per atom
Mass density: 5.86 g/cm3
Final energy: -2.943 eV per atom
D(E_F): 2.55 states/eV/cell

a = 4.759 Å, b = 4.764 Å, c = 14.881 Å
α = 90.00°, β = 90.00°, γ = 90.00°
Space group Imm2 (No. 44)
Asymmetric unit:
K (0.000, 0.000, 0.000) x2
Tl (0.000, 0.000, 0.617) x2
In (0.000, 0.500, 0.758) x2
Sn (0.000, 0.000, 0.392) x2
Sn (0.000, 0.500, 0.264) x2

=====

No. 8
Compound: ScTi2Ge2
Source: Alexandria via LeMat-Bulk
Functional: PBE
Structure: relaxed

Summary:
ΔH_f (0 K): -0.6271 eV per atom
Mass density: 5.49 g/cm3
Final energy: -6.898 eV per atom
Excess energy over the best structure of this formula in the dataset: 0.000 eV per atom
D(E_F): 14.06 states/eV/cell

a = 7.051 Å, b = 7.051 Å, c = 3.482 Å
α = 90.00°, β = 90.00°, γ = 90.00°
Space group P4/mbm (No. 127)
Asymmetric unit:
Sc (0.000, 0.000, 0.000) x2
Ti (0.166, 0.334, 0.500) x4
Ge (0.132, 0.632, 0.000) x4

=====

No. 9
Compound: Ac2AlZn6Cu
Source: Alexandria via LeMat-Bulk
Functional: PBE
Structure: relaxed

Summary:
ΔH_f (0 K): -0.0629 eV per atom
Mass density: 6.90 g/cm3
Final energy: -2.433 eV per atom
D(E_F): 11.97 states/eV/cell

a = 9.648 Å, b = 9.667 Å, c = 6.814 Å
α = 90.00°, β = 134.82°, γ = 90.00°
Space group C2/m (No. 12)
Asymmetric unit:
Ac (0.000, 0.250, 0.000) x4
Al (0.000, 0.000, 0.500) x2
Zn (0.000, 0.257, 0.500) x4
Zn (0.243, 0.500, 0.500) x4
Zn (0.243, 0.500, 0.985) x4
Cu (0.000, 0.500, 0.500) x2

=====

No. 10
Compound: GeAsBr2
Source: Alexandria via LeMat-Bulk
Functional: PBE
Structure: relaxed

Summary:
Formation energy from raw total energies: 308.0 meV per atom
Mass density: 4.97 g/cm3
Final energy: -2.845 eV per atom
Excess energy over the best structure of this formula in the dataset: 0.134 eV per atom
D(E_F): 10.21 states/eV/cell

a = 7.904 Å, b = 7.904 Å, c = 6.572 Å
α = 90.00°, β = 90.00°, γ = 90.00°
Space group I-42d (No. 122)
Asymmetric unit:
Ge (0.000, 0.000, 0.000) x4
As (0.000, 0.000, 0.500) x4
Br (0.247, 0.250, 0.125) x8

=====

No. 11
Compound: SiAu
Source: Alexandria via LeMat-Bulk
Functional: PBE
Structure: relaxed

Summary:
Formation energy from raw total energies: 45.5 meV per atom
Mass density: 9.97 g/cm3
Final energy: -4.305 eV per atom
D(E_F): 1.79 states/eV/cell

a = 13.004 Å, b = 2.818 Å, c = 4.089 Å
α = 90.00°, β = 90.11°, γ = 90.00°
Space group C2/m (No. 12)
Asymmetric unit:
Si (0.091, 0.000, 0.001) x4
Au (0.142, 0.500, 0.501) x4

=====

No. 12
Compound: CdPtSe2
Source: Alexandria via LeMat-Bulk
Functional: PBE
Structure: relaxed

Summary:
Formation energy from raw total energies: 227.6 meV per atom
Mass density: 10.02 g/cm3
Final energy: -3.254 eV per atom
D(E_F): 1.36 states/eV/cell

a = 3.173 Å, b = 4.842 Å, c = 5.018 Å
α = 90.00°, β = 90.00°, γ = 90.00°
Space group Pmmm (No. 47)
Asymmetric unit:
Cd (0.000, 0.000, 0.000) x1
Pt (0.500, 0.500, 0.000) x1
Se (0.000, 0.500, 0.500) x1
Se (0.500, 0.000, 0.500) x1

=====

No. 13
Compound: Mo2OsRu6
Source: Alexandria via LeMat-Bulk
Functional: PBE
Structure: relaxed

Summary:
ΔH_f (0 K): 0.1712 eV per atom
Mass density: 12.48 g/cm3
Final energy: -9.667 eV per atom
D(E_F): 36.20 states/eV/cell

a = 5.435 Å, b = 12.896 Å, c = 7.503 Å
α = 90.00°, β = 90.00°, γ = 90.00°
Space group Imma (No. 74)
Asymmetric unit:
Mo (0.000, 0.083, 0.235) x8
Os (0.000, 0.250, 0.767) x4
Ru (0.241, 0.084, 0.585) x16
Ru (0.241, 0.250, 0.417) x8

=====

No. 14
Compound: Sr2Hg2Te
Source: Alexandria via LeMat-Bulk
Functional: PBE
Structure: relaxed

Summary:
Formation energy from raw total energies: -791.5 meV per atom
Mass density: 6.95 g/cm3
Final energy: -2.213 eV per atom
Excess energy over the best structure of this formula in the dataset: 0.000 eV per atom
D(E_F): 3.88 states/eV/cell

a = 4.246 Å, b = 4.246 Å, c = 18.660 Å
α = 90.00°, β = 90.00°, γ = 90.00°
Space group I4/mmm (No. 139)
Asymmetric unit:
Sr (0.000, 0.000, 0.103) x4
Hg (0.000, 0.500, 0.250) x4
Te (0.000, 0.000, 0.500) x2

=====

No. 15
Compound: AsC2
Source: Alexandria via LeMat-Bulk
Functional: PBE
Structure: relaxed

Summary:
ΔH_f (0 K): 2.7212 eV per atom
Mass density: 4.76 g/cm3
Final energy: -4.978 eV per atom
Excess energy over the best structure of this formula in the dataset: 2.370 eV per atom
D(E_F): 1.14 states/eV/cell

a = 2.940 Å, b = 2.940 Å, c = 3.992 Å
α = 90.00°, β = 90.00°, γ = 90.00°
Space group P4/mmm (No. 123)
Asymmetric unit:
As (0.000, 0.000, 0.000) x1
C (0.000, 0.000, 0.500) x1
C (0.500, 0.500, 0.000) x1

=====

No. 16
Compound: La2GaBPt6
Source: Alexandria via LeMat-Bulk
Functional: PBE
Structure: relaxed

Summary:
ΔH_f (0 K): -0.8977 eV per atom
Mass density: 13.62 g/cm3
Final energy: -6.478 eV per atom
D(E_F): 5.92 states/eV/cell

a = 5.900 Å, b = 5.900 Å, c = 10.713 Å
α = 90.00°, β = 90.00°, γ = 90.00°
Space group I4mm (No. 107)
Asymmetric unit:
La (0.000, 0.500, 0.000) x4
Ga (0.000, 0.000, 0.150) x2
B (0.000, 0.000, 0.648) x2
Pt (0.000, 0.000, 0.448) x2
Pt (0.000, 0.000, 0.929) x2
Pt (0.237, 0.237, 0.750) x8

=====

No. 17
Compound: Sc6FeBi
Source: Alexandria via LeMat-Bulk
Functional: PBE
Structure: relaxed

Summary:
ΔH_f (0 K): -0.1347 eV per atom
Mass density: 5.04 g/cm3
Final energy: -6.426 eV per atom
D(E_F): 10.30 states/eV/cell

a = 6.605 Å, b = 6.605 Å, c = 4.040 Å
α = 90.00°, β = 90.00°, γ = 90.00°
Space group P4/mmm (No. 123)
Asymmetric unit:
Sc (0.000, 0.500, 0.000) x2
Sc (0.228, 0.228, 0.500) x4
Fe (0.000, 0.000, 0.000) x1
Bi (0.500, 0.500, 0.000) x1

=====

No. 18
Compound: Cs4Br3O2
Source: Alexandria via LeMat-Bulk
Functional: PBE
Structure: relaxed

Summary:
Formation energy from raw total energies: -1446.8 meV per atom
Mass density: 3.44 g/cm3
Final energy: -3.486 eV per atom
D(E_F): 2.59 states/eV/cell

a = 17.336 Å, b = 9.281 Å, c = 9.707 Å
α = 90.00°, β = 96.00°, γ = 90.00°
Space group C2/c (No. 15)
Asymmetric unit:
Cs (0.052, 0.225, 0.031) x8
Cs (0.222, 0.476, 0.328) x8
Br (0.000, 0.471, 0.750) x4
Br (0.134, 0.111, 0.387) x8
O (0.226, 0.274, 0.046) x8

=====

No. 19
Compound: KRh2W
Source: Alexandria via LeMat-Bulk
Functional: PBE
Structure: relaxed

Summary:
ΔH_f (0 K): 0.9696 eV per atom
Mass density: 10.35 g/cm3
Final energy: -6.219 eV per atom
Excess energy over the best structure of this formula in the dataset: 0.732 eV per atom
D(E_F): 19.51 states/eV/cell

a = 6.503 Å, b = 6.503 Å, c = 6.503 Å
α = 90.00°, β = 90.00°, γ = 90.00°
Space group Fm-3m (No. 225)
Asymmetric unit:
K (0.000, 0.000, 0.000) x4
Rh (0.250, 0.250, 0.250) x8
W (0.000, 0.000, 0.500) x4

=====

No. 20
Compound: Tm6Pd5Au
Source: Alexandria via LeMat-Bulk
Functional: PBE
Structure: relaxed

Summary:
ΔH_f (0 K): -0.9266 eV per atom
Mass density: 11.44 g/cm3
Final energy: -5.599 eV per atom
Excess energy over the best structure of this formula in the dataset: 0.000 eV per atom
D(E_F): 8.02 states/eV/cell

a = 4.914 Å, b = 7.002 Å, c = 7.742 Å
α = 90.00°, β = 108.32°, γ = 90.00°
Space group P2/m (No. 10)
Asymmetric unit:
Tm (0.000, 0.247, 0.000) x2
Tm (0.332, 0.248, 0.665) x4
Pd (0.166, 0.000, 0.331) x2
Pd (0.169, 0.500, 0.339) x2
Pd (0.500, 0.000, 0.000) x1
Au (0.500, 0.500, 0.000) x1

=====

Calculated volume values, unit Å³ per cell, following the record order: 61.7 134.1 289.2 186.1 638.0 417.0 337.4 173.1 450.8 410.6 149.9 77.1 525.9 336.3 34.5 372.9 176.2 1553.3 275.1 252.9.
Total magnetic moment values, unit μB/cell, following the record order: 0.00 21.68 0.00 0.00 0.00 0.00 0.00 0.00 0.00 0.00 0.00 0.00 0.00 0.00 0.00 0.00 0.61 4.01 0.00 0.00.